(1)
# Tb3PmDy2, optimized geometry, DFT PBE
# **DFT formation energy**: 3.85 kJ per mole of atoms
# **VASP energy**: -0.338 Ry/atom
# **Polymorph energy (0 for the lowest one)**: 24.7 meV per atom
# **N(E_F)**: 10.0 states/eV/f.u.
# **Crystal system**: triclinic
# **Space group**: No. 2
data_Tb3PmDy2
_chemical_formula_sum 'Tb6 Pm2 Dy4'
_space_group_name_H-M_alt 'P 1'
_space_group_IT_number 1
_cell_length_a 7.121
_cell_length_b 6.602
_cell_length_c 13.333
_cell_angle_alpha 93.64
_cell_angle_beta 122.25
_cell_angle_gamma 122.62
loop_
_space_group_symop_operation_xyz
'x,y,z'
loop_
_atom_site_label
_atom_site_type_symbol
_atom_site_fract_x
_atom_site_fract_y
_atom_site_fract_z
Tb1 Tb 0.369 0.996 0.746
Tb2 Tb 0.631 0.004 0.254
Tb3 Tb 0.909 0.689 0.939
Tb4 Tb 0.152 0.351 0.601
Tb5 Tb 0.848 0.649 0.399
Tb6 Tb 0.091 0.311 0.061
Pm1 Pm 0.132 0.006 0.255
Pm2 Pm 0.868 0.994 0.745
Dy1 Dy 0.347 0.649 0.399
Dy2 Dy 0.409 0.689 0.939
Dy3 Dy 0.591 0.311 0.061
Dy4 Dy 0.653 0.351 0.601


(2)
# Tl3Pd5Br12, optimized geometry, DFT PBE
# **VASP energy**: -0.220 Ry/atom
# **Formation energy without anion corrections**: -0.3415 eV/atom
# **N(E_F)**: 18.3 states/eV/f.u.
# **Crystal system**: cubic
# **Space group**: No. 230
data_Tl3Pd5Br12
_chemical_formula_sum 'Tl12 Pd20 Br48'
_space_group_name_H-M_alt 'P 1'
_space_group_IT_number 1
_cell_length_a 14.823
_cell_length_b 14.823
_cell_length_c 14.823
_cell_angle_alpha 109.47
_cell_angle_beta 109.47
_cell_angle_gamma 109.47
loop_
_space_group_symop_operation_xyz
'x,y,z'
loop_
_atom_site_label
_atom_site_type_symbol
_atom_site_fract_x
_atom_site_fract_y
_atom_site_fract_z
Tl1 Tl 0.750 0.375 0.125
Tl2 Tl 0.875 0.750 0.125
Tl3 Tl 0.375 0.750 0.625
Tl4 Tl 0.250 0.125 0.375
Tl5 Tl 0.875 0.125 0.250
Tl6 Tl 0.375 0.625 0.250
Tl7 Tl 0.625 0.375 0.750
Tl8 Tl 0.125 0.875 0.750
Tl9 Tl 0.750 0.875 0.625
Tl10 Tl 0.625 0.250 0.375
Tl11 Tl 0.125 0.250 0.875
Tl12 Tl 0.250 0.625 0.875
Pd1 Pd 0.125 0.375 0.250
Pd2 Pd 0.000 0.500 0.000
Pd3 Pd 0.000 0.000 0.000
Pd4 Pd 0.375 0.250 0.125
Pd5 Pd 0.500 0.000 0.500
Pd6 Pd 0.500 0.500 0.000
Pd7 Pd 0.125 0.750 0.375
Pd8 Pd 0.750 0.125 0.875
Pd9 Pd 0.750 0.625 0.375
Pd10 Pd 0.375 0.125 0.750
Pd11 Pd 0.625 0.875 0.250
Pd12 Pd 0.500 0.500 0.500
Pd13 Pd 0.500 0.000 0.000
Pd14 Pd 0.000 0.000 0.500
Pd15 Pd 0.250 0.375 0.625
Pd16 Pd 0.250 0.875 0.125
Pd17 Pd 0.000 0.500 0.500
Pd18 Pd 0.875 0.250 0.625
Pd19 Pd 0.625 0.750 0.875
Pd20 Pd 0.875 0.625 0.750
Br1 Br 0.687 0.109 0.012
Br2 Br 0.326 0.512 0.403
Br3 Br 0.988 0.391 0.313
Br4 Br 0.512 0.187 0.109
Br5 Br 0.578 0.687 0.674
Br6 Br 0.988 0.597 0.174
Br7 Br 0.326 0.813 0.422
Br8 Br 0.097 0.922 0.109
Br9 Br 0.597 0.988 0.674
Br10 Br 0.687 0.578 0.174
Br11 Br 0.813 0.488 0.391
Br12 Br 0.826 0.903 0.012
Br13 Br 0.109 0.687 0.512
Br14 Br 0.391 0.403 0.078
Br15 Br 0.078 0.903 0.391
Br16 Br 0.422 0.109 0.597
Br17 Br 0.078 0.174 0.187
Br18 Br 0.488 0.674 0.097
Br19 Br 0.826 0.922 0.313
Br20 Br 0.109 0.422 0.097
Br21 Br 0.391 0.988 0.813
Br22 Br 0.597 0.609 0.422
Br23 Br 0.903 0.826 0.512
Br24 Br 0.813 0.326 0.922
Br25 Br 0.403 0.391 0.578
Br26 Br 0.097 0.174 0.488
Br27 Br 0.187 0.674 0.078
Br28 Br 0.174 0.078 0.687
Br29 Br 0.609 0.012 0.187
Br30 Br 0.891 0.578 0.903
Br31 Br 0.512 0.326 0.903
Br32 Br 0.578 0.891 0.403
Br33 Br 0.922 0.826 0.813
Br34 Br 0.922 0.097 0.609
Br35 Br 0.891 0.313 0.488
Br36 Br 0.174 0.097 0.988
Br37 Br 0.609 0.597 0.922
Br38 Br 0.403 0.012 0.326
Br39 Br 0.313 0.422 0.826
Br40 Br 0.187 0.512 0.609
Br41 Br 0.903 0.078 0.891
Br42 Br 0.674 0.187 0.578
Br43 Br 0.488 0.813 0.891
Br44 Br 0.012 0.403 0.826
Br45 Br 0.422 0.313 0.326
Br46 Br 0.012 0.609 0.687
Br47 Br 0.674 0.488 0.597
Br48 Br 0.313 0.891 0.988


Question: The highest N(E_F) belongs to which entry?
Answer: Tl3Pd5Br12


Question: Look up the N(E_F) of the second one.
Answer: 18.3 states/eV/f.u.


Question: What is the formula in the second record?
Answer: Tl3Pd5Br12